# 1
Compound: Cu2Hg5F12
Source: Alexandria via LeMat-Bulk
Functional: PBE
Structure: relaxed

Summary:
- Total moment: 1.2 μB per formula unit
- ΔE_f (raw): -25.88 eV per formula unit

Lattice parameters (Å, degrees): 13.341 6.195 7.427 90.00 105.97 90.00
Space group C2/m (No. 12)
Asymmetric unit:
1 Cu 0.000 0.245 0.000
2 Hg 0.000 0.000 0.500
3 Hg 0.193 0.500 0.838
4 Hg 0.197 0.500 0.359
5 F 0.004 0.000 0.818
6 F 0.004 0.500 0.819
7 F 0.151 0.249 0.570
8 F 0.169 0.262 0.093



# 2
Compound: CuHgF2
Source: Alexandria via LeMat-Bulk
Functional: PBE
Structure: relaxed

Summary:
- Polymorph energy (0 for the lowest one): 41 meV/atom
- Total moment: 0.1 μB per formula unit
- ΔE_f (raw): -4.31 eV per formula unit

Lattice parameters (Å, degrees): 4.973 3.381 7.906 90.00 91.51 90.00
Space group P2_1/m (No. 11)
Asymmetric unit:
1 Cu 0.191 0.250 0.447
2 Hg 0.362 0.750 0.891
3 F 0.067 0.250 0.223
4 F 0.399 0.250 0.647